1.
Ho4PPtSe2 | GGA-PBE | relaxed

Cell: 7.067 4.004 7.102 Å, 90.00 108.88 90.00°
Space group P2/m (No. 10)
Inequivalent atoms, fractional coordinates:
Ho: 0.241 0.000 0.232
Ho: 0.256 0.500 0.769
P: 0.000 0.500 0.000
Pt: 0.500 0.000 0.000
Se: 0.000 0.000 0.500
Se: 0.500 0.500 0.500

## Properties
**VASP energy**: -6.171 eV per atom
**Formation energy without anion corrections**: -1580 meV per atom
**N(E_F)**: 0.661 states/eV/atom

=====

2.
Ho8PPt3Se3 | GGA-PBE | relaxed

Cell: 8.0459 8.0459 20.3829 Å, 90.00 90.00 120.00°
Space group R-3m (No. 166, hexagonal axes)
Inequivalent atoms, fractional coordinates:
Ho: 0.0000 0.0000 0.2440
Ho: 0.0024 0.5012 0.7558
P: 0.0000 0.0000 0.5000
Pt: 0.0000 0.5000 0.5000
Se: 0.0000 0.5000 0.0000

## Properties
**VASP energy**: -6.059 eV per atom
**Formation energy without anion corrections**: -1352 meV per atom
**N(E_F)**: 0.592 states/eV/atom

=====

3.
HoSn2P2Pt7 | GGA-PBE | relaxed

Cell: 5.570 5.568 15.301 Å, 90.00 100.43 90.00°
Space group C2/m (No. 12)
Inequivalent atoms, fractional coordinates:
Ho: 0.000 0.000 0.000
Sn: 0.213 0.000 0.425
P: 0.118 0.500 0.235
Pt: 0.000 0.500 0.000
Pt: 0.177 0.250 0.853
Pt: 0.195 0.500 0.389

## Properties
**Energy of formation**: -68 kJ/mol of atoms
**VASP energy**: -6.184 eV per atom
**N(E_F)**: 0.279 states/eV/atom

=====

4.
Sr2HoP3Pt12 | GGA-PBE | relaxed

Cell: 8.3812 8.3812 18.2965 Å, 90.00 90.00 120.00°
Space group R-3m (No. 166, hexagonal axes)
Inequivalent atoms, fractional coordinates:
Sr: 0.0000 0.0000 0.1000
Ho: 0.0000 0.0000 0.5000
P: 0.0000 0.5000 0.0000
Pt: 0.0188 0.5094 0.8750
Pt: 0.0462 0.5231 0.3573

## Properties
**Energy of formation**: -40 kJ/mol of atoms
**VASP energy**: -5.782 eV per atom
**N(E_F)**: 0.285 states/eV/atom

=====

5.
Ho4Te2PPt | GGA-PBE | relaxed

Cell: 7.323 4.111 7.396 Å, 90.00 108.72 90.00°
Space group P2/m (No. 10)
Inequivalent atoms, fractional coordinates:
Ho: 0.233 0.000 0.213
Ho: 0.265 0.500 0.792
Te: 0.000 0.000 0.500
Te: 0.500 0.500 0.500
P: 0.000 0.500 0.000
Pt: 0.500 0.000 0.000

## Properties
**VASP energy**: -5.872 eV per atom
**Formation energy without anion corrections**: -1366 meV per atom
**N(E_F)**: 0.565 states/eV/atom

=====

6.
Ho8Te3PPt3 | GGA-PBE | relaxed

Cell: 14.276 8.230 8.591 Å, 90.00 123.70 90.00°
Space group C2/m (No. 12)
Inequivalent atoms, fractional coordinates:
Ho: 0.014 0.249 0.290
Ho: 0.237 0.000 0.710
Ho: 0.237 0.500 0.710
Te: 0.000 0.500 0.000
Te: 0.250 0.250 0.000
P: 0.000 0.500 0.500
Pt: 0.000 0.000 0.500
Pt: 0.250 0.250 0.500

## Properties
**VASP energy**: -5.819 eV per atom
**Formation energy without anion corrections**: -1181 meV per atom
**N(E_F)**: 0.581 states/eV/atom

=====

7.
Ho6Te3P2Pt | GGA-PBE | relaxed

Cell: 18.438 4.101 8.542 Å, 90.00 104.66 90.00°
Space group C2/m (No. 12)
Inequivalent atoms, fractional coordinates:
Ho: 0.009 0.000 0.228
Ho: 0.161 0.500 0.109
Ho: 0.175 0.500 0.562
Te: 0.000 0.500 0.500
Te: 0.168 0.000 0.832
P: 0.168 0.000 0.338
Pt: 0.000 0.500 0.000

## Properties
**VASP energy**: -5.909 eV per atom
**Formation energy without anion corrections**: -1429 meV per atom
**N(E_F)**: 0.525 states/eV/atom

=====

8.
HoTl2P2Pt7 | GGA-PBE | relaxed

Cell: 5.638 5.638 15.270 Å, 90.00 100.57 90.00°
Space group C2/m (No. 12)
Inequivalent atoms, fractional coordinates:
Ho: 0.000 0.000 0.000
Tl: 0.210 0.000 0.422
P: 0.116 0.500 0.232
Pt: 0.000 0.500 0.000
Pt: 0.177 0.250 0.854
Pt: 0.189 0.500 0.382

## Properties
**Energy of formation**: -56 kJ/mol of atoms
**VASP energy**: -5.777 eV per atom
**N(E_F)**: 0.421 states/eV/atom

=====

9.
Ho2ZnPPt6 | GGA-PBE | relaxed

Cell: 5.549 8.612 8.042 Å, 90.00 90.00 90.00°
Space group Pmmn (No. 59, origin choice 2)
Inequivalent atoms, fractional coordinates:
Ho: 0.250 0.019 0.232
Zn: 0.250 0.750 0.787
P: 0.250 0.250 0.732
Pt: 0.001 0.750 0.517
Pt: 0.005 0.750 0.045
Pt: 0.250 0.003 0.617

## Properties
**Energy of formation**: -83 kJ/mol of atoms
**VASP energy**: -6.065 eV per atom
**N(E_F)**: 0.303 states/eV/atom

=====

10.
HoZn2P2Pt7 | GGA-PBE | relaxed

Cell: 5.543 5.542 14.037 Å, 90.00 98.33 90.00°
Space group C2/m (No. 12)
Inequivalent atoms, fractional coordinates:
Ho: 0.000 0.000 0.000
Zn: 0.102 0.000 0.416
P: 0.093 0.500 0.257
Pt: 0.000 0.500 0.000
Pt: 0.110 0.500 0.419
Pt: 0.192 0.250 0.840

## Properties
**Energy of formation**: -60 kJ/mol of atoms
**VASP energy**: -5.639 eV per atom
**N(E_F)**: 0.265 states/eV/atom

=====

11.
HoPuP2 | GGA-PBE | relaxed

Cell: 3.9095 3.9095 20.7578 Å, 90.00 90.00 120.00°
Space group R3m (No. 160, hexagonal axes)
Inequivalent atoms, fractional coordinates:
Ho: 0.0000 0.0000 0.0000
Pu: 0.0000 0.0000 0.1712
P: 0.0000 0.0000 0.4180
P: 0.0000 0.0000 0.5875

## Properties
**Energy of formation**: -117 kJ/mol of atoms
**VASP energy**: -8.645 eV per atom
**Polymorph energy (0 for the lowest one)**: 0.69 eV per formula unit
**N(E_F)**: 2.136 states/eV/atom

=====

12.
HoPu5P6 | GGA-PBE | relaxed

Cell: 6.916 11.978 6.918 Å, 90.00 109.47 90.00°
Space group C2/m (No. 12)
Inequivalent atoms, fractional coordinates:
Ho: 0.000 0.000 0.000
Pu: 0.000 0.166 0.500
Pu: 0.000 0.333 0.000
Pu: 0.000 0.500 0.500
P: 0.248 0.332 0.748
P: 0.248 0.500 0.251

## Properties
**Energy of formation**: -119 kJ/mol of atoms
**VASP energy**: -10.287 eV per atom
**N(E_F)**: 3.475 states/eV/atom

=====

13.
HoPuP | GGA-PBE | relaxed

Cell: 3.7719 3.7719 6.5296 Å, 90.00 90.00 120.00°
Space group P3m1 (No. 156)
Inequivalent atoms, fractional coordinates:
Ho: 0.0000 0.0000 0.0000
Pu: 0.6667 0.3333 0.4835
P: 0.3333 0.6667 0.7450

## Properties
**Energy of formation**: -68 kJ/mol of atoms
**VASP energy**: -8.809 eV per atom
**N(E_F)**: 2.470 states/eV/atom

=====

14.
HoPu3P4 | GGA-PBE | relaxed

Cell: 5.644 5.644 5.644 Å, 90.00 90.00 90.00°
Space group Pm-3m (No. 221)
Inequivalent atoms, fractional coordinates:
Ho: 0.000 0.000 0.000
Pu: 0.000 0.500 0.500
P: 0.000 0.000 0.500
P: 0.500 0.500 0.500

## Properties
**Energy of formation**: -122 kJ/mol of atoms
**VASP energy**: -9.915 eV per atom
**Polymorph energy (0 for the lowest one)**: 0.00 eV per formula unit
**N(E_F)**: 3.160 states/eV/atom

=====

15.
HoPu3P4 | GGA-PBE | relaxed

Cell: 7.949 11.267 3.991 Å, 90.00 90.00 90.00°
Space group Cmmm (No. 65)
Inequivalent atoms, fractional coordinates:
Ho: 0.000 0.000 0.000
Pu: 0.000 0.500 0.000
Pu: 0.250 0.250 0.500
P: 0.000 0.250 0.000
P: 0.248 0.500 0.500

## Properties
**Energy of formation**: -118 kJ/mol of atoms
**VASP energy**: -9.880 eV per atom
**Polymorph energy (0 for the lowest one)**: 0.28 eV per formula unit
**N(E_F)**: 3.773 states/eV/atom

=====

16.
HoPuP | GGA-PBE | relaxed

Cell: 15.362 3.589 5.648 Å, 90.00 98.28 90.00°
Space group Cm (No. 8)
Inequivalent atoms, fractional coordinates:
Ho: 0.000 0.000 0.000
Ho: 0.186 0.000 0.640
Pu: 0.346 0.000 0.252
Pu: 0.435 0.500 0.454
P: 0.176 0.000 0.133
P: 0.375 0.000 0.768

## Properties
**Energy of formation**: -30 kJ/mol of atoms
**VASP energy**: -8.414 eV per atom
**N(E_F)**: 1.553 states/eV/atom

=====

17.
HoPu2P3 | GGA-PBE | relaxed

Cell: 3.994 5.637 11.952 Å, 90.00 90.00 90.00°
Space group Immm (No. 71)
Inequivalent atoms, fractional coordinates:
Ho: 0.000 0.000 0.000
Pu: 0.000 0.000 0.335
P: 0.000 0.500 0.000
P: 0.000 0.500 0.330

## Properties
**Energy of formation**: -126 kJ/mol of atoms
**VASP energy**: -9.553 eV per atom
**N(E_F)**: 2.717 states/eV/atom

=====

18.
HoPuP2 | GGA-PBE | relaxed

Cell: 3.9998 3.9998 19.3899 Å, 90.00 90.00 120.00°
Space group R-3m (No. 166, hexagonal axes)
Inequivalent atoms, fractional coordinates:
Ho: 0.0000 0.0000 0.0000
Pu: 0.0000 0.0000 0.5000
P: 0.0000 0.0000 0.2486

## Properties
**Energy of formation**: -134 kJ/mol of atoms
**VASP energy**: -8.817 eV per atom
**Polymorph energy (0 for the lowest one)**: 0.00 eV per formula unit
**N(E_F)**: 2.194 states/eV/atom

=====

19.
Ho4PuP5 | GGA-PBE | relaxed

Cell: 8.914 8.914 5.631 Å, 90.00 90.00 90.00°
Space group I4/m (No. 87)
Inequivalent atoms, fractional coordinates:
Ho: 0.100 0.699 0.000
Pu: 0.000 0.000 0.500
P: 0.000 0.000 0.000
P: 0.099 0.702 0.500

## Properties
**Energy of formation**: -146 kJ/mol of atoms
**VASP energy**: -7.481 eV per atom
**N(E_F)**: 1.296 states/eV/atom

=====

20.
Ho2PuP3 | GGA-PBE | relaxed

Cell: 3.987 3.987 16.889 Å, 90.00 90.00 90.00°
Space group I4/mmm (No. 139)
Inequivalent atoms, fractional coordinates:
Ho: 0.000 0.000 0.168
Pu: 0.000 0.000 0.500
P: 0.000 0.000 0.000
P: 0.000 0.000 0.334

## Properties
**Energy of formation**: -140 kJ/mol of atoms
**VASP energy**: -8.071 eV per atom
**N(E_F)**: 1.666 states/eV/atom

=====

21.
HoPuSc2P4 | GGA-PBE | relaxed

Cell: 6.677 3.886 6.711 Å, 90.00 109.57 90.00°
Space group P2/m (No. 10)
Inequivalent atoms, fractional coordinates:
Ho: 0.000 0.000 0.000
Pu: 0.000 0.500 0.500
Sc: 0.500 0.000 0.500
Sc: 0.500 0.500 0.000
P: 0.262 0.000 0.752
P: 0.263 0.500 0.256

## Properties
**Energy of formation**: -137 kJ/mol of atoms
**VASP energy**: -8.070 eV per atom
**N(E_F)**: 1.337 states/eV/atom

=====

22.
SmHoPu2P4 | GGA-PBE | relaxed

Cell: 6.941 4.025 6.953 Å, 90.00 109.67 90.00°
Space group P2/m (No. 10)
Inequivalent atoms, fractional coordinates:
Sm: 0.000 0.000 0.000
Ho: 0.000 0.500 0.500
Pu: 0.500 0.000 0.500
Pu: 0.500 0.500 0.000
P: 0.255 0.000 0.749
P: 0.258 0.500 0.258

## Properties
**Energy of formation**: -129 kJ/mol of atoms
**VASP energy**: -8.787 eV per atom
**N(E_F)**: 2.991 states/eV/atom

=====

23.
Sm2HoPuP4 | GGA-PBE | relaxed

Cell: 6.994 4.053 7.004 Å, 90.00 109.48 90.00°
Space group P2/m (No. 10)
Inequivalent atoms, fractional coordinates:
Sm: 0.000 0.000 0.000
Sm: 0.500 0.500 0.000
Ho: 0.000 0.500 0.500
Pu: 0.500 0.000 0.500
P: 0.249 0.000 0.741
P: 0.255 0.500 0.261

## Properties
**Energy of formation**: -141 kJ/mol of atoms
**VASP energy**: -7.715 eV per atom
**N(E_F)**: 1.496 states/eV/atom